(1)
The following is a GGA-PBE calculation of a geometry-optimized Ac4YTh3P8 structure, from Alexandria via LeMat-Bulk.

Computed properties:
Magnetic moment in μB per cell: 0.0
Uncorrected energy in eV per atom: -7.04
Symmetry: R-3m (166)
ΔE_f in meV per atom: -1518
Fermi-level density of states in states/eV per cell: 3.887

Cell: 8.509 8.576 8.508 Å, 119.74 120.00 90.00°
Positions (direct):
1 P 0.743 0.729 0.486
2 P 0.256 0.272 0.014
3 P 0.758 0.272 0.014
4 P 0.744 0.728 0.986
5 P 0.257 0.271 0.514
6 P 0.242 0.728 0.484
7 P 0.242 0.728 0.986
8 P 0.758 0.272 0.516
9 Ac 0.500 0.000 0.500
10 Ac 0.500 0.000 0.000
11 Ac 0.000 0.000 0.000
12 Ac 0.000 0.000 0.500
13 Y 0.000 0.500 0.000
14 Th 0.500 0.500 0.000
15 Th 0.500 0.500 0.500
16 Th 0.000 0.500 0.500

---

(2)
The following is a GGA-PBE calculation of a geometry-optimized Y2PN structure, from Alexandria via LeMat-Bulk.

Computed properties:
Magnetic moment in μB per cell: 0.0
Raw formation energy in eV/atom: -1.35
Offset from the most stable computed form in meV per atom: 160
Uncorrected energy in eV per atom: -8.02
Symmetry: I-42d (122)
Fermi-level density of states in states/eV per cell: 0.000

Cell: 6.551 6.551 6.048 Å, 57.21 57.21 90.00°
Positions (direct):
1 Y 0.565 0.125 0.250
2 Y 0.875 0.815 0.750
3 Y 0.185 0.625 0.250
4 Y 0.375 0.435 0.750
5 N 0.250 0.750 0.500
6 N 0.500 0.500 0.000
7 P 0.750 0.250 0.500
8 P 0.000 0.000 0.000

---

(3)
The following is a GGA-PBE calculation of a geometry-optimized Zr2FeSe structure, from Alexandria via LeMat-Bulk.

Computed properties:
Magnetic moment in μB per cell: 0.0
Raw formation energy in eV/atom: -0.41
Uncorrected energy in eV per atom: -7.67
Symmetry: Imm2 (44)
Fermi-level density of states in states/eV per cell: 2.144

Cell: 5.794 5.794 5.794 Å, 145.90 138.77 54.54°
Positions (direct):
1 Se 0.298 0.798 0.500
2 Zr 0.724 0.224 0.500
3 Zr 0.994 0.994 0.000
4 Fe 0.484 0.484 0.000

---

(4)
The following is a GGA-PBE calculation of a geometry-optimized Be2FePt structure, from Alexandria via LeMat-Bulk.

Computed properties:
Magnetic moment in μB per cell: 2.6
Uncorrected energy in eV per atom: -5.77
Symmetry: I-4m2 (119)
ΔE_f in meV per atom: -279
Fermi-level density of states in states/eV per cell: 1.775

Cell: 4.532 4.532 4.532 Å, 135.94 135.94 64.07°
Positions (direct):
1 Be 0.000 0.000 0.000
2 Be 0.250 0.750 0.500
3 Pt 0.750 0.250 0.500
4 Fe 0.500 0.500 0.000

---

- Which formula does entry 4 have?
  Be2FePt